[1]
VASP calculation (PBE) on Pr8As3IrSe4 after structural relaxation.

Properties
D(E_F): 10.2 states/eV per cell
ΔE_f (raw): -1.5762 eV/atom
Total magnetic moment: 0.0 Bohr magnetons per cell
Total DFT energy (no corrections): -6.26 eV per atom

Lattice parameters (Å, degrees): 8.562 8.608 8.562 119.82 120.00 90.00
Fractional positions:
Se 0.500 0.000 0.500
Se 0.000 0.000 0.500
Se 0.000 0.000 0.000
Se 0.500 0.000 0.000
As 0.500 0.500 0.000
As 0.500 0.500 0.500
As 0.000 0.500 0.500
Pr 0.247 0.265 0.006
Pr 0.241 0.735 0.994
Pr 0.747 0.741 0.494
Pr 0.759 0.265 0.006
Pr 0.241 0.735 0.482
Pr 0.253 0.259 0.506
Pr 0.753 0.735 0.994
Pr 0.759 0.265 0.518
Ir 0.000 0.500 0.000


[2]
VASP calculation (PBE) on Nb4MoW3 after structural relaxation.

Properties
Formation energy: 0.162 eV/atom
D(E_F): 11.5 states/eV per cell
Total magnetic moment: 0.0 Bohr magnetons per cell
Total DFT energy (no corrections): -11.08 eV per atom
Distance to the lowest polymorph of the same formula: 1.89 eV/f.u.

Lattice parameters (Å, degrees): 5.306 5.497 9.513 90.00 90.00 90.00
Fractional positions:
Nb 0.072 0.449 0.251
Nb 0.572 0.551 0.249
Nb 0.572 0.551 0.751
Nb 0.809 0.800 0.500
Nb 0.806 0.294 0.500
Nb 0.072 0.449 0.749
Nb 0.309 0.200 0.000
Nb 0.306 0.706 0.000
W 0.569 0.048 0.249
W 0.810 0.805 0.000
W 0.569 0.048 0.751
W 0.069 0.952 0.749
W 0.310 0.195 0.500
W 0.069 0.952 0.251
Mo 0.808 0.299 0.000
Mo 0.308 0.701 0.500


Which value of D(E_F) does entry 2 give?
11.5 states/eV per cell